Below is crystalline SrLi2W at its relaxed geometry, with properties calculated at the GGA-PBE level.

## Properties
distance to the lowest polymorph of the same formula: 523 meV per atom
DOS(E_F): 0.788 states/eV per atom
E_form: 5.0 eV per formula unit
crystal system: tetragonal
total moment: 0.907 μB per atom

a = 10.9274 Å, b = 10.9274 Å, c = 10.9274 Å
α = 155.96°, β = 155.96°, γ = 34.26°
Atoms (fractional coordinates):
Sr: 0.0000 0.0000 0.0000
Sr: 0.7500 0.2500 0.5000
Li: 0.2153 0.1250 0.5903
Li: 0.3750 0.7847 0.9097
Li: 0.5347 0.6250 0.4097
Li: 0.8750 0.4653 0.0903
W: 0.2500 0.7500 0.5000
W: 0.5000 0.5000 0.0000